A geometry-optimized FeMoW structure, computed with PBE.

Output
Total DFT energy (no corrections) (eV per atom): -10.68
ΔE to the lowest computed polymorph (eV per atom): 0.000
ΔH_f (0 K) (eV/f.u.): 0.2
Spin magnetization (μB/cell): 3.61

Unit cell a=3.1183 b=3.1183 c=8.9598 alpha=90.00 beta=90.00 gamma=90.00
Last column: nearest neighbours and their distance in Å.
Space group P4/nmm (No. 129, origin choice 2)
Symmetry-distinct sites (fractional):
Fe: 0.2500 0.2500 0.0755 (multiplicity 2)  4 Fe 2.59, 5 W 2.60-2.73
Mo: 0.2500 0.2500 0.4123 (multiplicity 2)  4 Mo 2.71, 4 W 2.75, 1 Fe 3.02
W: 0.2500 0.2500 0.7702 (multiplicity 2)  5 Fe 2.60-2.73, 4 Mo 2.75